Entry 1:
Nd2Re2O7 | OQMD | PBE | optimized geometry; final energy = -8.42 eV per atom
1.0
-4.961 3.853 3.743
4.961 -3.853 3.743
4.961 3.853 -3.743
Nd Re O
4 4 14
Direct
0.000 0.000 0.000
0.000 0.500 0.500
0.517 0.475 0.542
0.933 0.975 0.458
0.482 0.482 0.000
0.482 0.982 0.500
0.487 0.987 0.000
0.987 0.487 0.000
0.142 0.736 0.906
0.212 0.391 0.053
0.212 0.659 0.321
0.242 0.080 0.368
0.242 0.374 0.662
0.338 0.159 0.947
0.338 0.891 0.679
0.642 0.080 0.327
0.642 0.815 0.062
0.712 0.580 0.338
0.712 0.874 0.632
0.753 0.315 0.673
0.753 0.580 0.938
0.830 0.236 0.094

Entry 2:
NaTaCuSe2S | OQMD | PBE | optimized geometry; final energy = -5.38 eV per atom
1.0
1.800 -6.926 0.000
1.800 6.926 0.000
0.000 0.000 9.576
Na Ta Cu Se S
2 2 2 4 2
Direct
0.245 0.755 0.750
0.755 0.245 0.250
0.500 0.500 0.000
0.500 0.500 0.500
0.033 0.967 0.250
0.967 0.033 0.750
0.136 0.864 0.050
0.136 0.864 0.450
0.864 0.136 0.550
0.864 0.136 0.950
0.430 0.570 0.250
0.570 0.430 0.750

Entry 3:
PmBAsO | OQMD | PBE | optimized geometry; distance to the lowest polymorph of the same formula = 0.000 eV/atom
1.0
4.071 0.000 0.000
0.000 4.071 0.000
0.000 0.000 7.365
Pm B As O
2 2 2 2
Direct
0.250 0.250 0.155
0.750 0.750 0.845
0.250 0.750 0.500
0.750 0.250 0.500
0.250 0.250 0.616
0.750 0.750 0.384
0.250 0.750 0.000
0.750 0.250 0.000

Entry 4:
USiPt | OQMD | PBE | optimized geometry; final energy = -8.00 eV per atom
1.0
0.000 3.179 3.179
3.179 0.000 3.179
3.179 3.179 0.000
U Si Pt
1 1 1
Direct
0.000 0.000 0.000
0.500 0.500 0.500
0.750 0.750 0.750

Entry 5:
SbIr4C2Se | OQMD | PBE | optimized geometry; final energy = -6.96 eV per atom
1.0
3.384 0.000 0.000
-1.692 2.930 0.000
0.000 0.000 11.992
Sb Ir C Se
1 4 2 1
Direct
0.000 0.000 0.000
0.000 0.000 0.325
0.000 0.000 0.675
0.667 0.333 0.161
0.667 0.333 0.839
0.333 0.667 0.264
0.333 0.667 0.736
0.667 0.333 0.500

Entry 6:
NdGa2IrAu | OQMD | PBE | optimized geometry; final energy = -5.26 eV per atom
1.0
4.352 0.000 0.000
0.000 4.352 0.000
0.000 0.000 10.478
Nd Ga Ir Au
2 4 2 2
Direct
0.250 0.250 0.240
0.750 0.750 0.760
0.250 0.250 0.642
0.250 0.750 0.000
0.750 0.250 0.000
0.750 0.750 0.358
0.250 0.250 0.875
0.750 0.750 0.125
0.250 0.750 0.500
0.750 0.250 0.500

no.,density (g/cm³),total magnetization (μB per formula unit)
1,8.969,3.00
2,6.362,0.38
3,6.712,0.00
4,11.914,2.00
5,13.877,0.00
6,11.259,0.01